(1)
## TbSi3 (PBE)

Data for TbSi3 after structural relaxation.

Lattice parameters (Å, degrees): 3.8319 4.1681 4.6802 90.00 90.00 90.00
Closest atoms and distances in Å follow each position.
Space group Pmm2 (No. 25)
Symmetry-distinct sites (fractional):
Tb1 0.0000 0.0000 0.0000 x1  12 Si 2.98-3.26
Si1 0.0000 0.5000 0.5348 x1  2 Si 2.47
Si2 0.5000 0.0000 0.5120 x1  6 Si 2.54-2.83
Si3 0.5000 0.5000 0.2019 x1  4 Si 2.47-2.54

***

(2)
## TbSi2 (PBE)

Data for TbSi2 after structural relaxation.

Lattice parameters (Å, degrees): 3.9836 3.9836 14.6564 90.00 90.00 90.00
Closest atoms and distances in Å follow each position.
Space group I4_1/amd (No. 141, origin choice 2)
Symmetry-distinct sites (fractional):
Tb1 0.0000 0.2500 0.3750 x4  12 Si 3.06-3.17
Si1 0.0000 0.2500 0.7929 x8  3 Si 2.36-2.41

***

(3)
## Tb5Si4 (PBE)

Data for Tb5Si4 after structural relaxation.

Lattice parameters (Å, degrees): 7.4935 14.6621 7.7257 90.00 90.00 90.00
Closest atoms and distances in Å follow each position.
Space group Pnma (No. 62)
Symmetry-distinct sites (fractional):
Tb1 0.0337 0.0995 0.1844 x8  6 Si 3.05-3.16
Tb2 0.1443 0.7500 0.5119 x4  5 Si 2.93-3.08
Tb3 0.1854 0.1224 0.6799 x8  6 Si 2.87-3.04
Si1 0.0179 0.7500 0.1037 x4  1 Si 2.54
Si2 0.1422 0.5409 0.4727 x8  1 Si 2.48
Si3 0.2399 0.2500 0.3744 x4  1 Si 2.54

***

(4)
## Tb3Si2 (PBE)

Data for Tb3Si2 after structural relaxation.

Lattice parameters (Å, degrees): 4.3469 6.2960 8.7736 90.00 90.00 90.00
Closest atoms and distances in Å follow each position.
Space group Immm (No. 71)
Symmetry-distinct sites (fractional):
Tb1 0.0000 0.0000 0.0000 x2  4 Si 2.90
Tb2 0.0000 0.5000 0.2004 x4  6 Si 3.06-3.25, 2 Tb 3.41
Si1 0.0000 0.1958 0.5000 x4  1 Si 2.47

***

(5)
## TbSi3Tc3 (PBE)

Data for TbSi3Tc3 after structural relaxation.

Computed properties:
- ΔE to the lowest computed polymorph: 226 meV/atom

Lattice parameters (Å, degrees): 6.4566 6.4566 20.5232 90.00 90.00 120.00
Closest atoms and distances in Å follow each position.
Space group R-3 (No. 148, hexagonal axes)
Symmetry-distinct sites (fractional):
Tb1 0.0000 0.0000 0.1647 x6  6 Si 3.01-3.19, 6 Tc 3.09-3.25
Si1 0.0196 0.2477 0.5884 x18  4 Tc 2.36-2.56
Tc1 0.0335 0.4190 0.3792 x18  4 Si 2.36-2.56

***

(6)
## TbSi2Tc2 (PBE)

Data for TbSi2Tc2 after structural relaxation.

Computed properties:
- ΔE to the lowest computed polymorph: 0 meV/atom

Lattice parameters (Å, degrees): 4.1340 4.1340 10.1273 90.00 90.00 90.00
Closest atoms and distances in Å follow each position.
Space group I4/mmm (No. 139)
Symmetry-distinct sites (fractional):
Tb1 0.0000 0.0000 0.0000 x2  8 Si 3.18, 8 Tc 3.27
Si1 0.0000 0.0000 0.3769 x4  4 Tc 2.43, 1 Si 2.49
Tc1 0.0000 0.5000 0.2500 x4  4 Si 2.43

***

(7)
## TbSi3Tc5 (PBE)

Data for TbSi3Tc5 after structural relaxation.

Lattice parameters (Å, degrees): 4.2429 12.2189 11.3891 90.00 90.00 90.00
Closest atoms and distances in Å follow each position.
Space group Cmcm (No. 63)
Symmetry-distinct sites (fractional):
Tb1 0.0000 0.1495 0.2500 x4  6 Si 2.99-3.23
Si1 0.0000 0.1510 0.7500 x4  6 Tc 2.49-2.53
Si2 0.0000 0.4044 0.5737 x8  5 Tc 2.42-2.56
Tc1 0.0000 0.0000 0.0000 x4  4 Si 2.56, 2 Tc 2.56
Tc2 0.0000 0.2066 0.5394 x8  2 Si 2.45-2.49, 3 Tc 2.54-2.56
Tc3 0.0000 0.4093 0.1470 x8  1 Tc 2.35, 4 Si 2.42-2.53

***

(8)
## TbSiTc (PBE)

Data for TbSiTc after structural relaxation.

Computed properties:
- ΔE to the lowest computed polymorph: 0 meV/atom

Lattice parameters (Å, degrees): 4.3399 4.3399 6.3977 90.00 90.00 90.00
Closest atoms and distances in Å follow each position.
Space group P4/nmm (No. 129, origin choice 2)
Symmetry-distinct sites (fractional):
Tb1 0.2500 0.2500 0.1855 x2  4 Tc 2.96, 6 Si 3.18-3.21
Si1 0.2500 0.2500 0.6865 x2  4 Tc 2.48
Tc1 0.2500 0.7500 0.5000 x2  4 Si 2.48

***

(9)
## TbSiTc (PBE)

Data for TbSiTc after structural relaxation.

Computed properties:
- ΔE to the lowest computed polymorph: 152 meV/atom

Lattice parameters (Å, degrees): 4.2214 4.2214 3.8001 90.00 90.00 120.00
Closest atoms and distances in Å follow each position.
Space group P-6m2 (No. 187)
Symmetry-distinct sites (fractional):
Tb1 0.0000 0.0000 0.0000 x1  6 Tc 3.09, 6 Si 3.09
Si1 0.3333 0.6667 0.5000 x1  3 Tc 2.44
Tc1 0.6667 0.3333 0.5000 x1  3 Si 2.44

***

(10)
## Tb2Si4Tc3 (PBE)

Data for Tb2Si4Tc3 after structural relaxation.

Computed properties:
- ΔE to the lowest computed polymorph: 0 meV/atom

Lattice parameters (Å, degrees): 6.7864 6.7986 6.8081 90.00 110.24 90.00
Closest atoms and distances in Å follow each position.
Space group P2_1/c (No. 14)
Symmetry-distinct sites (fractional):
Tb1 0.1909 0.1672 0.0575 x4  7 Si 2.79-3.05, 1 Tc 3.07
Si1 0.1037 0.5524 0.8786 x4  4 Tc 2.49-2.59, 1 Si 2.61
Si2 0.4865 0.6419 0.6313 x4  5 Tc 2.51-2.66, 1 Si 2.68, 1 Tb 2.79
Tc1 0.2411 0.6500 0.2575 x4  6 Si 2.49-2.64
Tc2 0.5000 0.0000 0.5000 x2  6 Si 2.55-2.66

***

(11)
## TbSi3Tc2 (PBE)

Data for TbSi3Tc2 after structural relaxation.

Lattice parameters (Å, degrees): 9.3357 7.2725 5.8315 90.00 90.00 90.00
Closest atoms and distances in Å follow each position.
Space group Cmcm (No. 63)
Symmetry-distinct sites (fractional):
Tb1 0.0000 0.1570 0.2500 x4  3 Si 2.85-3.07
Si1 0.0000 0.4513 0.7500 x4  2 Si 2.35, 4 Tc 2.46
Si2 0.1647 0.2078 0.7500 x8  1 Si 2.35, 4 Tc 2.41-2.61
Tc1 0.2082 0.5000 0.0000 x8  6 Si 2.41-2.61

***

(12)
## TbSi3Tc3 (PBE)

Data for TbSi3Tc3 after structural relaxation.

Computed properties:
- ΔE to the lowest computed polymorph: 0 meV/atom

Lattice parameters (Å, degrees): 7.3681 4.2325 7.6720 90.00 100.39 90.00
Closest atoms and distances in Å follow each position.
Space group P2_1/m (No. 11)
Symmetry-distinct sites (fractional):
Tb1 0.1625 0.2500 0.3807 x2  7 Si 2.94-3.08, 2 Tc 3.14-3.25
Si1 0.1022 0.2500 0.7968 x2  3 Tc 2.41-2.59, 1 Si 2.53
Si2 0.2040 0.7500 0.0987 x2  4 Tc 2.41-2.59, 1 Si 2.53
Si3 0.4317 0.7500 0.5597 x2  4 Tc 2.37-2.48, 2 Si 2.58
Tc1 0.2582 0.7500 0.7910 x2  4 Si 2.37-2.46
Tc2 0.3901 0.2500 0.0476 x2  3 Si 2.59, 6 Tc 2.66-2.84
Tc3 0.4888 0.2500 0.7283 x2  4 Si 2.39-2.48

***

(13)
## TbSi2Tc4 (PBE)

Data for TbSi2Tc4 after structural relaxation.

Lattice parameters (Å, degrees): 4.1165 13.7736 4.0900 90.00 90.00 90.00
Closest atoms and distances in Å follow each position.
Space group Cmmm (No. 65)
Symmetry-distinct sites (fractional):
Tb1 0.0000 0.0000 0.0000 x2  8 Si 3.15, 8 Tc 3.31-3.38
Si1 0.0000 0.4118 0.5000 x4  1 Si 2.43, 4 Tc 2.48-2.52
Tc1 0.0000 0.1892 0.5000 x4  2 Si 2.48, 4 Tc 2.59-2.65
Tc2 0.0000 0.3049 0.0000 x4  2 Si 2.52, 4 Tc 2.55-2.59

***

(14)
## TbSi2Tc2 (PBE)

Data for TbSi2Tc2 after structural relaxation.

Computed properties:
- ΔE to the lowest computed polymorph: 120 meV/atom

Lattice parameters (Å, degrees): 5.4708 10.0242 7.2372 90.00 112.18 90.00
Closest atoms and distances in Å follow each position.
Space group C2/c (No. 15)
Symmetry-distinct sites (fractional):
Tb1 0.0000 0.1248 0.2500 x4  6 Si 3.10-3.34, 8 Tc 3.13-3.40
Si1 0.0000 0.1844 0.7500 x4  4 Tc 2.37-2.44
Si2 0.0000 0.4343 0.2500 x4  4 Tc 2.37-2.44
Tc1 0.1131 0.3749 0.9759 x8  4 Si 2.37-2.44

***

(15)
## Tb3Si3Tc (PBE)

Data for Tb3Si3Tc after structural relaxation.

Lattice parameters (Å, degrees): 10.7710 4.2107 13.7465 90.00 111.03 90.00
Closest atoms and distances in Å follow each position.
Space group C2/m (No. 12)
Symmetry-distinct sites (fractional):
Tb1 0.0204 0.0000 0.3745 x4  6 Si 2.94-3.15, 4 Tc 3.10-3.20
Tb2 0.1043 0.0000 0.9207 x4  7 Si 2.96-3.13
Tb3 0.2453 0.0000 0.2292 x4  6 Si 2.94-3.28, 2 Tc 3.28
Si1 0.0529 0.5000 0.2359 x4  1 Si 2.51, 1 Tc 2.55
Si2 0.1085 0.5000 0.0736 x4  2 Si 2.48-2.51
Si3 0.1351 0.5000 0.5421 x4  3 Tc 2.44-2.47, 1 Si 2.72
Tc1 0.2437 0.5000 0.4115 x4  4 Si 2.44-2.55

***

(16)
## TbSiTc (PBE)

Data for TbSiTc after structural relaxation.

Computed properties:
- ΔE to the lowest computed polymorph: 41 meV/atom

Lattice parameters (Å, degrees): 10.7684 3.5718 7.3217 90.00 127.07 90.00
Closest atoms and distances in Å follow each position.
Space group C2/m (No. 12)
Symmetry-distinct sites (fractional):
Tb1 0.0759 0.0000 0.3027 x4  5 Si 2.97-3.04, 4 Tc 3.05-3.14
Si1 0.1392 0.5000 0.6857 x4  3 Tc 2.43-2.55, 1 Si 2.56
Tc1 0.1846 0.5000 0.0705 x4  3 Si 2.43-2.55

***

(17)
## Tb2Si4Tc3 (PBE)

Data for Tb2Si4Tc3 after structural relaxation.

Computed properties:
- ΔE to the lowest computed polymorph: 163 meV/atom

Lattice parameters (Å, degrees): 5.4657 14.9460 7.4350 90.00 90.00 90.00
Closest atoms and distances in Å follow each position.
Space group Cmce (No. 64)
Symmetry-distinct sites (fractional):
Tb1 0.0000 0.1076 0.0954 x8  8 Si 2.99-3.30, 4 Tc 3.07-3.25
Si1 0.0000 0.1794 0.4774 x8  5 Tc 2.54-2.69
Si2 0.2500 0.0588 0.7500 x8  3 Tc 2.47-2.48, 2 Si 2.73
Tc1 0.0000 0.0000 0.5000 x4  6 Si 2.47-2.69
Tc2 0.2500 0.2250 0.7500 x8  5 Si 2.48-2.60, 2 Tc 2.73

***

(18)
## TbSi3Tc3 (PBE)

Data for TbSi3Tc3 after structural relaxation.

Computed properties:
- ΔE to the lowest computed polymorph: 626 meV/atom

Lattice parameters (Å, degrees): 6.5627 6.5627 6.5627 90.00 90.00 90.00
Closest atoms and distances in Å follow each position.
Space group Pm-3n (No. 223)
Symmetry-distinct sites (fractional):
Tb1 0.0000 0.0000 0.0000 x2  12 Tc 3.67, 12 Si 3.67
Si1 0.0000 0.2500 0.5000 x6  4 Tc 2.32
Tc1 0.0000 0.5000 0.2500 x6  4 Si 2.32

***

(19)
## Tb2SiTe (PBE)

Data for Tb2SiTe after structural relaxation.

Computed properties:
- ΔE to the lowest computed polymorph: 65 meV/atom

Lattice parameters (Å, degrees): 4.2224 4.2224 21.8020 90.00 90.00 120.00
Closest atoms and distances in Å follow each position.
Space group R3m (No. 160, hexagonal axes)
Symmetry-distinct sites (fractional):
Tb1 0.0000 0.0000 0.0000 x3  3 Si 2.91, 3 Te 3.22
Tb2 0.0000 0.0000 0.1903 x3  3 Si 2.88, 3 Te 3.19
Si1 0.0000 0.0000 0.5939 x3  6 Tb 2.88-2.91
Te1 0.0000 0.0000 0.7629 x3  6 Tb 3.19-3.22

***

(20)
## TbSiTe2 (PBE)

Data for TbSiTe2 after structural relaxation.

Lattice parameters (Å, degrees): 3.9326 3.9326 27.6004 90.00 90.00 120.00
Closest atoms and distances in Å follow each position.
Space group R-3m (No. 166, hexagonal axes)
Symmetry-distinct sites (fractional):
Tb1 0.0000 0.0000 0.0000 x3  2 Te 3.01
Si1 0.0000 0.0000 0.5000 x3  6 Te 2.77
Te1 0.0000 0.0000 0.1089 x6  3 Si 2.77, 1 Tb 3.01

***

So what do the calculations give for energy relative to the elements, uncorrected? Going down the list: -0.2785 -0.5555 -0.7452 -0.6386 -0.2421 -0.6259 -0.3478 -0.5903 -0.4388 -0.7234 -0.5620 -0.4681 -0.5222 -0.5062 -0.7582 -0.5494 -0.5601 0.1582 -1.0390 -0.0568 eV per atom.